Record 1
Computed, not measured: ScIrPt2 after structural relaxation at the GGA-PBE level of DFT.

Cell: 4.536 4.536 4.536 Å, 60.00 60.00 60.00°
Fractional coordinates of all 4 atoms:
Sc1 0.000 0.000 0.000
Ir1 0.500 0.500 0.500
Pt1 0.250 0.250 0.250
Pt2 0.750 0.750 0.750

Properties
Its raw total energy is -29.23 eV per cell. The energy of formation from the pure elements comes out at -0.488 eV/atom. The density of states at the Fermi level comes out at 0.136 states/eV per atom. The space group is No. 225.


Record 2
Computed, not measured: ScIr2Pt after structural relaxation at the GGA-PBE level of DFT.

Cell: 4.885 4.885 4.885 Å, 132.03 132.03 70.18°
Fractional coordinates of all 4 atoms:
Sc1 0.000 0.000 0.000
Ir1 0.250 0.750 0.500
Ir2 0.750 0.250 0.500
Pt1 0.500 0.500 0.000

Properties
Its raw total energy is -32.21 eV per cell. The energy of formation from the pure elements comes out at -0.530 eV/atom. The density of states at the Fermi level comes out at 1.534 states/eV per atom. The space group is No. 139.


Record 3
Computed, not measured: ScIrPt2 after structural relaxation at the GGA-PBE level of DFT.

Cell: 4.913 4.913 4.763 Å, 100.66 100.66 35.02°
Fractional coordinates of all 4 atoms:
Sc1 0.000 0.000 0.000
Ir1 0.500 0.500 0.500
Pt1 0.246 0.246 0.741
Pt2 0.754 0.754 0.259

Properties
Its raw total energy is -29.59 eV per cell. The energy of formation from the pure elements comes out at -0.578 eV/atom. The density of states at the Fermi level comes out at 1.030 states/eV per atom. The space group is No. 12.


Record 4
Computed, not measured: ScIr2Pt after structural relaxation at the GGA-PBE level of DFT.

Cell: 4.509 4.509 4.509 Å, 60.00 60.00 60.00°
Fractional coordinates of all 4 atoms:
Sc1 0.000 0.000 0.000
Ir1 0.250 0.250 0.250
Ir2 0.500 0.500 0.500
Pt1 0.750 0.750 0.750

Properties
Its raw total energy is -31.25 eV per cell. The energy of formation from the pure elements comes out at -0.288 eV/atom. The density of states at the Fermi level comes out at 1.391 states/eV per atom. The space group is No. 216.


Record 5
Computed, not measured: ScIr2Pt after structural relaxation at the GGA-PBE level of DFT.

Cell: 2.832 4.603 5.096 Å, 90.00 102.22 90.00°
Fractional coordinates of all 4 atoms:
Sc1 0.000 0.000 0.000
Ir1 0.370 0.500 0.738
Ir2 0.630 0.500 0.262
Pt1 0.500 0.000 0.500

Properties
Its raw total energy is -31.68 eV per cell. The energy of formation from the pure elements comes out at -0.397 eV/atom. The density of states at the Fermi level comes out at 0.681 states/eV per atom. The space group is No. 10.


Record 6
Computed, not measured: ScIr2Pt after structural relaxation at the GGA-PBE level of DFT.

Cell: 9.702 9.702 9.702 Å, 156.99 156.99 32.77°
Fractional coordinates of all 8 atoms:
Sc1 0.000 0.000 0.000
Sc2 0.750 0.250 0.500
Ir1 0.154 0.625 0.029
Ir2 0.375 0.404 0.529
Ir3 0.596 0.125 0.971
Ir4 0.875 0.846 0.471
Pt1 0.250 0.750 0.500
Pt2 0.500 0.500 0.000

Properties
Its raw total energy is -61.98 eV per cell. The energy of formation from the pure elements comes out at -0.224 eV/atom. The density of states at the Fermi level comes out at 1.161 states/eV per atom. The space group is No. 122.


Record 7
Computed, not measured: ScIrPt2 after structural relaxation at the GGA-PBE level of DFT.

Cell: 2.920 4.565 4.823 Å, 90.00 90.00 90.00°
Fractional coordinates of all 4 atoms:
Sc1 0.000 0.000 0.000
Ir1 0.000 0.500 0.638
Pt1 0.500 0.000 0.517
Pt2 0.500 0.500 0.156

Properties
Its raw total energy is -29.90 eV per cell. The energy of formation from the pure elements comes out at -0.657 eV/atom. The density of states at the Fermi level comes out at 0.870 states/eV per atom. The space group is No. 25.


Record 8
Computed, not measured: ScIr2Pt after structural relaxation at the GGA-PBE level of DFT.

Cell: 2.845 3.937 5.668 Å, 90.00 90.00 90.00°
Fractional coordinates of all 4 atoms:
Sc1 0.000 0.000 0.000
Ir1 0.000 0.000 0.481
Ir2 0.500 0.500 0.275
Pt1 0.500 0.500 0.750

Properties
Its raw total energy is -32.23 eV per cell. The energy of formation from the pure elements comes out at -0.533 eV/atom. The density of states at the Fermi level comes out at 0.922 states/eV per atom. The space group is No. 25.


Record 9
Computed, not measured: ScIrPt3 after structural relaxation at the GGA-PBE level of DFT.

Cell: 4.842 4.842 4.842 Å, 90.00 90.00 90.00°
Fractional coordinates of all 5 atoms:
Sc1 0.000 0.000 0.000
Ir1 0.500 0.500 0.500
Pt1 0.000 0.500 0.500
Pt2 0.500 0.000 0.500
Pt3 0.500 0.500 0.000

Properties
The energy relative to the lowest polymorph listed for this composition is 0.000 eV per atom. Its raw total energy is -29.97 eV per cell. The energy of formation from the pure elements comes out at 0.668 eV/atom. The density of states at the Fermi level comes out at 1.257 states/eV per atom. The space group is No. 221.


Record 10
Computed, not measured: Sc8Ir2Pt after structural relaxation at the GGA-PBE level of DFT.

Cell: 7.245 7.245 5.078 Å, 99.11 99.11 113.18°
Fractional coordinates of all 11 atoms:
Sc1 0.000 0.000 0.000
Sc2 0.040 0.293 0.592
Sc3 0.140 0.591 0.185
Sc4 0.293 0.040 0.592
Sc5 0.437 0.691 0.778
Sc6 0.591 0.140 0.185
Sc7 0.691 0.437 0.778
Sc8 0.732 0.732 0.371
Ir1 0.054 0.677 0.686
Ir2 0.677 0.054 0.686
Pt1 0.366 0.366 0.182

Properties
Its raw total energy is -81.03 eV per cell. The energy of formation from the pure elements comes out at -0.601 eV/atom. The density of states at the Fermi level comes out at 1.226 states/eV per atom. The space group is No. 8.


Record 11
Computed, not measured: Sc8IrPt2 after structural relaxation at the GGA-PBE level of DFT.

Cell: 7.466 7.466 5.072 Å, 100.66 100.66 117.45°
Fractional coordinates of all 11 atoms:
Sc1 0.000 0.000 0.000
Sc2 0.037 0.275 0.588
Sc3 0.156 0.574 0.189
Sc4 0.275 0.037 0.588
Sc5 0.455 0.693 0.791
Sc6 0.574 0.156 0.189
Sc7 0.693 0.455 0.791
Sc8 0.730 0.730 0.379
Ir1 0.365 0.365 0.188
Pt1 0.064 0.666 0.689
Pt2 0.666 0.064 0.689

Properties
Its raw total energy is -78.54 eV per cell. The energy of formation from the pure elements comes out at -0.631 eV/atom. The density of states at the Fermi level comes out at 1.292 states/eV per atom. The space group is No. 8.


Record 12
Computed, not measured: ScIrPt2 after structural relaxation at the GGA-PBE level of DFT.

Cell: 4.775 4.775 2.957 Å, 90.00 90.00 108.48°
Fractional coordinates of all 4 atoms:
Sc1 0.000 0.000 0.000
Ir1 0.500 0.500 0.000
Pt1 0.000 0.500 0.500
Pt2 0.500 0.000 0.500

Properties
Its raw total energy is -30.05 eV per cell. The energy of formation from the pure elements comes out at -0.694 eV/atom. The density of states at the Fermi level comes out at 0.883 states/eV per atom. The space group is No. 65.


Record 13
Computed, not measured: ScIr2Pt after structural relaxation at the GGA-PBE level of DFT.

Cell: 4.499 4.499 4.499 Å, 60.00 60.00 60.00°
Fractional coordinates of all 4 atoms:
Sc1 0.000 0.000 0.000
Ir1 0.250 0.250 0.250
Ir2 0.750 0.750 0.750
Pt1 0.500 0.500 0.500

Properties
Its raw total energy is -31.19 eV per cell. The energy of formation from the pure elements comes out at -0.275 eV/atom. The density of states at the Fermi level comes out at 1.861 states/eV per atom. The space group is No. 225.


Record 14
Computed, not measured: Sc2IrPt2 after structural relaxation at the GGA-PBE level of DFT.

Cell: 7.239 7.239 3.397 Å, 90.00 90.00 90.00°
Fractional coordinates of all 10 atoms:
Sc1 0.173 0.327 0.000
Sc2 0.327 0.827 0.000
Sc3 0.673 0.173 0.000
Sc4 0.827 0.673 0.000
Ir1 0.000 0.000 0.500
Ir2 0.500 0.500 0.500
Pt1 0.132 0.632 0.500
Pt2 0.368 0.132 0.500
Pt3 0.632 0.868 0.500
Pt4 0.868 0.368 0.500

Properties
Its raw total energy is -75.87 eV per cell. The energy of formation from the pure elements comes out at -0.866 eV/atom. The density of states at the Fermi level comes out at 0.894 states/eV per atom. The space group is No. 127.


Record 15
Computed, not measured: Sc4IrPt after structural relaxation at the GGA-PBE level of DFT.

Cell: 5.379 5.379 5.379 Å, 60.00 60.00 60.00°
Fractional coordinates of all 6 atoms:
Sc1 0.125 0.125 0.125
Sc2 0.125 0.125 0.626
Sc3 0.125 0.626 0.125
Sc4 0.626 0.125 0.125
Ir1 0.750 0.750 0.750
Pt1 0.500 0.500 0.500

Properties
The energy relative to the lowest polymorph listed for this composition is 0.895 eV per atom. Its raw total energy is -39.84 eV per cell. The energy of formation from the pure elements comes out at 0.064 eV/atom. The density of states at the Fermi level comes out at 1.051 states/eV per atom. The space group is No. 216.


Record 16
Computed, not measured: ScIr2Pt after structural relaxation at the GGA-PBE level of DFT.

Cell: 4.889 4.889 4.810 Å, 100.03 100.03 33.91°
Fractional coordinates of all 4 atoms:
Sc1 0.000 0.000 0.000
Ir1 0.253 0.253 0.744
Ir2 0.747 0.747 0.256
Pt1 0.500 0.500 0.500

Properties
Its raw total energy is -32.16 eV per cell. The energy of formation from the pure elements comes out at -0.515 eV/atom. The density of states at the Fermi level comes out at 0.823 states/eV per atom. The space group is No. 12.


Record 17
Computed, not measured: ScIr2Pt2 after structural relaxation at the GGA-PBE level of DFT.

Cell: 6.912 6.912 3.521 Å, 90.00 90.00 90.00°
Fractional coordinates of all 10 atoms:
Sc1 0.000 0.000 0.000
Sc2 0.500 0.500 0.000
Ir1 0.131 0.369 0.000
Ir2 0.369 0.869 0.000
Ir3 0.631 0.131 0.000
Ir4 0.869 0.631 0.000
Pt1 0.168 0.668 0.500
Pt2 0.332 0.168 0.500
Pt3 0.668 0.832 0.500
Pt4 0.832 0.332 0.500

Properties
Its raw total energy is -75.50 eV per cell. The energy of formation from the pure elements comes out at -0.323 eV/atom. The density of states at the Fermi level comes out at 0.750 states/eV per atom. The space group is No. 127.


Record 18
Computed, not measured: Sc2IrPtSe after structural relaxation at the GGA-PBE level of DFT.

Cell: 4.875 4.875 4.557 Å, 90.00 90.00 90.00°
Fractional coordinates of all 5 atoms:
Sc1 0.000 0.500 0.000
Sc2 0.500 0.000 0.000
Ir1 0.000 0.000 0.500
Pt1 0.500 0.500 0.500
Se1 0.500 0.500 0.000

Properties
Its raw total energy is -30.88 eV per cell. The density of states at the Fermi level comes out at 0.895 states/eV per atom. The space group is No. 123. The value obtained for the uncorrected formation energy is 0.0347 eV per atom.


Record 19
Computed, not measured: Sc2Si4IrPt3 after structural relaxation at the GGA-PBE level of DFT.

Cell: 3.955 3.955 10.420 Å, 90.00 90.00 90.00°
Fractional coordinates of all 10 atoms:
Sc1 0.000 0.500 0.235
Sc2 0.500 0.000 0.765
Si1 0.000 0.000 0.500
Si2 0.000 0.500 0.862
Si3 0.500 0.000 0.138
Si4 0.500 0.500 0.500
Ir1 0.500 0.500 0.000
Pt1 0.000 0.000 0.000
Pt2 0.000 0.500 0.637
Pt3 0.500 0.000 0.363

Properties
Its raw total energy is -71.17 eV per cell. The density of states at the Fermi level comes out at 0.396 states/eV per atom. The space group is No. 115. The value obtained for the uncorrected formation energy is -0.9835 eV per atom.


Record 20
Computed, not measured: Sc5Sn2Ir2Pt after structural relaxation at the GGA-PBE level of DFT.

Cell: 11.131 11.131 3.337 Å, 90.00 90.00 90.00°
Fractional coordinates of all 20 atoms:
Sc1 0.000 0.500 0.000
Sc2 0.071 0.195 0.000
Sc3 0.195 0.929 0.000
Sc4 0.305 0.429 0.000
Sc5 0.429 0.695 0.000
Sc6 0.500 0.000 0.000
Sc7 0.571 0.305 0.000
Sc8 0.695 0.571 0.000
Sc9 0.805 0.071 0.000
Sc10 0.929 0.805 0.000
Sn1 0.172 0.672 0.500
Sn2 0.328 0.172 0.500
Sn3 0.672 0.828 0.500
Sn4 0.828 0.328 0.500
Ir1 0.135 0.365 0.500
Ir2 0.365 0.865 0.500
Ir3 0.635 0.135 0.500
Ir4 0.865 0.635 0.500
Pt1 0.000 0.000 0.500
Pt2 0.500 0.500 0.500

Properties
Its raw total energy is -142.74 eV per cell. The energy of formation from the pure elements comes out at -0.794 eV/atom. The density of states at the Fermi level comes out at 0.463 states/eV per atom. The space group is No. 127.